Record 1
First-principles (PBE) data for a relaxed structure of Hf2TlGa2, as listed in Alexandria.

Energy relative to the elements ... -0.447 eV/f.u.
DFT total energy ... -5.755 eV per atom
N(E_F) ... 2.7 states/eV per cell
Density ... 11.16 g cm⁻³
Energy above the most stable polymorph in this dataset ... 0 meV/atom

POSCAR file:
```
Hf2TlGa2
1.0
8.1901 0.0000 0.0000
0.0000 8.1901 0.0000
0.0000 0.0000 3.1090
Hf Tl Ga
4 2 4
direct
0.1355 0.3645 0.0000 Hf
0.3645 0.8645 0.0000 Hf
0.6355 0.1355 0.0000 Hf
0.8645 0.6355 0.0000 Hf
0.0000 0.0000 0.5000 Tl
0.5000 0.5000 0.5000 Tl
0.1603 0.6603 0.5000 Ga
0.3397 0.1603 0.5000 Ga
0.6603 0.8397 0.5000 Ga
0.8397 0.3397 0.5000 Ga
```

Record 2
First-principles (PBE) data for a relaxed structure of HfTl3Ga, as listed in Alexandria.

Energy relative to the elements ... 4.150 eV/f.u.
DFT total energy ... -3.186 eV per atom
N(E_F) ... 5.6 states/eV per cell
Density ... 9.66 g cm⁻³
Energy above the most stable polymorph in this dataset ... 225 meV/atom

POSCAR file:
```
HfTl3Ga
1.0
5.2903 0.0000 0.0000
0.0000 5.2903 0.0000
0.0000 0.0000 5.2903
Hf Tl Ga
1 3 1
direct
0.0000 0.0000 0.0000 Hf
0.0000 0.5000 0.5000 Tl
0.5000 0.0000 0.5000 Tl
0.5000 0.5000 0.0000 Tl
0.5000 0.5000 0.5000 Ga
```

Record 3
First-principles (PBE) data for a relaxed structure of HfTl2Ga, as listed in Alexandria.

Energy relative to the elements ... 1.658 eV/f.u.
DFT total energy ... -4.014 eV per atom
N(E_F) ... 3.1 states/eV per cell
Density ... 11.28 g cm⁻³
Energy above the most stable polymorph in this dataset ... 85 meV/atom

POSCAR file:
```
HfTl2Ga
1.0
0.0000 3.6428 3.6428
3.6428 0.0000 3.6428
3.6428 3.6428 0.0000
Hf Tl Ga
1 2 1
direct
0.0000 0.0000 0.0000 Hf
0.2500 0.2500 0.2500 Tl
0.7500 0.7500 0.7500 Tl
0.5000 0.5000 0.5000 Ga
```